! Ho7HgSe5, optimized geometry, DFT GGA-PBE; values from VASP
&SYSTEM
  ibrav = 0, nat = 26, ntyp = 3
/
ATOMIC_SPECIES
Se 78.96 Se.upf
Ho 164.93 Ho.upf
Hg 200.59 Hg.upf
CELL_PARAMETERS angstrom
4.034 0.000 0.000
-2.017 6.665 0.009
0.000 -0.025 24.189
ATOMIC_POSITIONS crystal
Se 0.549 0.098 0.359
Se 0.725 0.451 0.571
Se 0.275 0.550 0.429
Se 0.000 0.001 0.000
Se 0.000 0.001 0.500
Se 0.549 0.098 0.141
Se 0.452 0.903 0.859
Se 0.452 0.903 0.641
Se 0.725 0.451 0.929
Se 0.275 0.550 0.071
Ho 0.815 0.631 0.822
Ho 0.093 0.187 0.887
Ho 0.362 0.724 0.536
Ho 0.524 0.048 0.750
Ho 0.185 0.370 0.178
Ho 0.815 0.631 0.678
Ho 0.476 0.953 0.250
Ho 0.094 0.187 0.613
Ho 0.907 0.814 0.113
Ho 0.639 0.277 0.464
Ho 0.185 0.371 0.322
Ho 0.639 0.277 0.036
Ho 0.362 0.724 0.964
Ho 0.907 0.814 0.387
Hg 0.197 0.394 0.750
Hg 0.804 0.607 0.250
! - Crystal system: orthorhombic
! - Spin magnetization: 0.00 μB/f.u.
! - DOS at the Fermi energy: 7.37 states/eV/f.u.
! - DFT total energy: -136.410 eV/cell
! - Raw formation energy: -1418 meV/atom

! Ho6HgSe5, optimized geometry, DFT GGA-PBE; values from VASP
&SYSTEM
  ibrav = 0, nat = 12, ntyp = 3
/
ATOMIC_SPECIES
Se 78.96 Se.upf
Ho 164.93 Ho.upf
Hg 200.59 Hg.upf
CELL_PARAMETERS angstrom
7.009 0.171 1.065
1.718 5.977 3.483
0.115 0.077 7.105
ATOMIC_POSITIONS crystal
Se 0.500 0.832 0.336
Se 0.500 0.500 0.000
Se 0.000 0.334 0.332
Se 0.000 0.666 0.668
Se 0.500 0.168 0.664
Ho 0.751 0.418 0.665
Ho 0.249 0.582 0.335
Ho 0.249 0.917 0.665
Ho 0.250 0.252 0.000
Ho 0.750 0.748 0.000
Ho 0.751 0.083 0.335
Hg 0.000 0.000 0.000
! - Crystal system: monoclinic
! - Spin magnetization: 0.00 μB/f.u.
! - DOS at the Fermi energy: 3.75 states/eV/f.u.
! - DFT total energy: -63.456 eV/cell
! - Raw formation energy: -1522 meV/atom

Look up the raw formation energy of the first one. -1418 meV/atom

Look up the raw formation energy of the second one. -1522 meV/atom